1.
A plane-wave DFT calculation with PBE was carried out for ThMg2AlAu2 after structural relaxation.

```
ThMg2AlAu2
1.0
-2.5822 2.5822 5.5436
2.5822 -2.5822 5.5436
2.5822 2.5822 -5.5436
Th Mg Al Au
1 2 1 2
Direct
0.0000 0.0000 0.0000
0.2500 0.7500 0.5000
0.7500 0.2500 0.5000
0.5000 0.5000 0.0000
0.2780 0.2780 0.0000
0.7220 0.7220 0.0000
```

Computed properties:
space-group type	I4/mmm
crystal system	tetragonal
calculated total energy	-3.660	eV/atom
DFT formation energy	-175	meV per atom

2.
A plane-wave DFT calculation with PBE was carried out for Th2MgAl3Au4 after structural relaxation.

```
Th2MgAl3Au4
1.0
4.4539 0.0000 0.0000
0.0000 4.4539 0.0000
0.0000 0.0000 10.5571
Th Mg Al Au
2 1 3 4
Direct
0.0000 0.5000 0.2401
0.5000 0.0000 0.7599
0.0000 0.0000 0.5000
0.0000 0.5000 0.8704
0.5000 0.0000 0.1296
0.5000 0.5000 0.5000
0.0000 0.0000 0.0000
0.0000 0.5000 0.6360
0.5000 0.0000 0.3640
0.5000 0.5000 0.0000
```

Computed properties:
space-group type	P-4m2
crystal system	tetragonal
calculated total energy	-4.726	eV/atom
DFT formation energy	-649	meV per atom

3.
A plane-wave DFT calculation with PBE was carried out for Tm2MgAl3Au4 after structural relaxation.

```
Tm2MgAl3Au4
1.0
4.3107 0.0000 0.0000
0.0000 4.3107 0.0000
0.0000 0.0000 10.8175
Tm Mg Al Au
2 1 3 4
Direct
0.0000 0.5000 0.2401
0.5000 0.0000 0.7599
0.0000 0.0000 0.5000
0.0000 0.5000 0.8703
0.5000 0.0000 0.1297
0.5000 0.5000 0.5000
0.0000 0.0000 0.0000
0.0000 0.5000 0.6434
0.5000 0.0000 0.3566
0.5000 0.5000 0.0000
```

Computed properties:
space-group type	P-4m2
crystal system	tetragonal
calculated total energy	-4.118	eV/atom
DFT formation energy	-631	meV per atom

4.
A plane-wave DFT calculation with PBE was carried out for Tm2MgAlAu4 after structural relaxation.

```
Tm2MgAlAu4
1.0
2.4130 1.3932 7.8710
-2.4130 1.3932 7.8710
0.0000 -2.7863 7.8710
Tm Mg Al Au
2 1 1 4
Direct
0.2488 0.2488 0.2488
0.7512 0.7512 0.7512
0.0000 0.0000 0.0000
0.5000 0.5000 0.5000
0.1249 0.1249 0.1249
0.3763 0.3763 0.3763
0.6237 0.6237 0.6237
0.8751 0.8751 0.8751
```

Computed properties:
space-group type	R-3m
crystal system	trigonal
calculated total energy	-4.182	eV/atom
DFT formation energy	-758	meV per atom

Q: Look up the calculated total energy of the first one.
A: -3.660 eV/atom

Q: Look up the DFT formation energy of the first one.
A: -175 meV per atom

Q: Which value of DFT formation energy does entry 1 give?
A: -175 meV per atom